(1)
18
Lattice="5.294 0.000 0.000 -2.647 4.585 0.000 0.000 0.000 9.188" Properties=species:S:1:pos:R:3 comment="NpCrMoO6 (PBE+U, relaxed)" total_energy_ev_per_atom=-8.590 crystal_system=trigonal spacegroup="P-31c, No. 163" pbc="T T T"
O -0.865 1.581 1.211
O -1.711 3.045 3.382
O 0.865 1.581 3.382
O 3.513 3.004 7.976
O 0.845 4.544 3.382
O 4.358 1.540 5.805
O 1.711 3.045 1.211
O -0.845 4.544 1.211
O 1.782 3.004 5.805
O 1.802 0.041 5.805
O 0.936 1.540 7.976
O 3.493 0.041 7.976
Mo 0.000 0.000 4.594
Mo 0.000 0.000 0.000
Cr 0.000 3.057 2.297
Cr 2.647 1.528 6.891
Np 2.647 1.528 2.297
Np 0.000 3.057 6.891

=====

(2)
5
Lattice="-0.608 1.611 -3.541 -2.077 -3.165 -1.084 -3.290 1.700 1.339" Properties=species:S:1:pos:R:3 comment="CrMoO3 (PBE+U, relaxed)" total_energy_ev_per_atom=-7.054 crystal_system=cubic spacegroup="Pm-3m, No. 221" pbc="T T T"
O -1.038 -1.582 -0.542
O -0.304 0.806 -1.770
O -1.645 0.850 0.669
Cr -2.987 0.073 -1.643
Mo 0.000 0.000 0.000

=====

(3)
22
Lattice="-4.597 3.081 -0.188 -2.577 0.667 -7.599 -6.563 -4.808 0.159" Properties=species:S:1:pos:R:3 comment="CrMo2O8 (PBE+U, relaxed)" total_energy_ev_per_atom=-6.987 crystal_system=monoclinic spacegroup="C2/c, No. 15" pbc="T T T"
O -4.123 0.022 -7.148
O -7.504 -3.161 -0.773
O -2.369 0.723 -5.059
O -11.369 -1.783 -2.568
O -8.998 0.701 -6.432
O -4.535 -0.413 -4.232
O -3.214 0.163 -1.978
O -4.740 -1.761 -1.196
O -9.203 -0.646 -3.395
O -9.614 -1.082 -0.480
O -6.500 -1.793 -2.905
O -7.238 0.733 -4.723
O -10.524 -1.222 -5.649
O -6.234 2.101 -6.854
O -6.049 0.912 -1.933
O -7.689 -1.971 -5.694
Cr -5.805 -3.279 -1.790
Cr -7.932 2.219 -5.838
Mo -1.577 -0.050 -1.287
Mo -5.194 -0.546 -2.523
Mo -12.161 -1.010 -6.341
Mo -8.544 -0.514 -5.105

=====

> Number 3 is which compound?

CrMo2O8